one:
First-principles (GGA-PBE) data for SrY2Au after structural relaxation, as listed in Alexandria.

Lattice parameters (Å, degrees): 5.431 5.431 5.431 60.00 60.00 60.00
Sites, in units of the cell vectors:
Y (0.250, 0.250, 0.250)
Y (0.750, 0.750, 0.750)
Sr (0.000, 0.000, 0.000)
Au (0.500, 0.500, 0.500)

Summary:
The density of states at the Fermi level comes out at 7.52 states/eV/f.u.

=====

two:
First-principles (GGA-PBE) data for SrY2Au after structural relaxation, as listed in Alexandria.

Lattice parameters (Å, degrees): 4.830 4.010 6.894 71.99 90.00 90.00
Sites, in units of the cell vectors:
Au (0.500, 0.250, 0.250)
Sr (0.500, 0.750, 0.750)
Y (0.000, 0.406, 0.458)
Y (0.000, 0.094, 0.042)

Summary:
The density of states at the Fermi level comes out at 4.37 states/eV/f.u.

=====

three:
First-principles (GGA-PBE) data for SrY2Au after structural relaxation, as listed in Alexandria.

Lattice parameters (Å, degrees): 3.671 3.671 9.675 90.00 90.00 89.94
Sites, in units of the cell vectors:
Au (0.500, 0.500, 0.250)
Sr (0.500, 0.500, 0.750)
Y (0.000, 0.000, 0.074)
Y (0.000, 0.000, 0.426)

Summary:
The density of states at the Fermi level comes out at 4.34 states/eV/f.u.

=====

four:
First-principles (GGA-PBE) data for SrY2Au after structural relaxation, as listed in Alexandria.

Lattice parameters (Å, degrees): 6.818 6.818 5.459 66.41 66.41 32.69
Sites, in units of the cell vectors:
Y (0.998, 0.998, 0.002)
Y (0.194, 0.194, 0.306)
Sr (0.796, 0.796, 0.704)
Au (0.512, 0.512, 0.487)

Summary:
The density of states at the Fermi level comes out at 4.95 states/eV/f.u.

=====

Most stable of them? three.

=====

one:
First-principles (GGA-PBE) data for SrY2Au after structural relaxation, as listed in Alexandria.

Lattice parameters (Å, degrees): 9.010 9.010 7.191 51.21 51.21 90.00
Last column: magnetic moment on the atom in μB.
Sites, in units of the cell vectors:
Y (0.701, 0.125, 0.250)  0.14
Y (0.375, 0.299, 0.750)  0.14
Y (0.875, 0.951, 0.750)  0.14
Y (0.049, 0.625, 0.250)  0.14
Au (0.000, 0.000, 0.000)  0.01
Au (0.750, 0.250, 0.500)  0.02
Sr (0.500, 0.500, 0.000)  0.03
Sr (0.250, 0.750, 0.500)  0.03

Summary:
The density of states at the Fermi level comes out at 4.37 states/eV/f.u.

=====

two:
First-principles (GGA-PBE) data for SrY2Au after structural relaxation, as listed in Alexandria.

Lattice parameters (Å, degrees): 5.093 5.093 4.461 90.00 90.00 90.00
Sites, in units of the cell vectors:
Au (0.500, 0.000, 0.500)
Y (0.000, 0.000, 0.000)
Y (0.500, 0.500, 0.000)
Sr (0.000, 0.500, 0.500)

Summary:
The density of states at the Fermi level comes out at 3.43 states/eV/f.u.

=====

Most stable of them? one.